Below is crystalline VAg3F8 at its relaxed geometry, with properties calculated at the GGA+U level.

abc: 6.2089 6.2089 6.9091
angles: 90.00 90.00 126.55
Atoms (fractional coordinates):
V1 0.0000 0.0000 0.0000
Ag1 0.0000 0.0000 0.5000
Ag2 0.0000 0.5000 0.2564
Ag3 0.5000 0.0000 0.7436
F1 0.1755 0.8245 0.0000
F2 0.1971 0.8029 0.5000
F3 0.2272 0.2452 0.1900
F4 0.2452 0.2272 0.8100
F5 0.7548 0.7728 0.8100
F6 0.7728 0.7548 0.1900
F7 0.8029 0.1971 0.5000
F8 0.8245 0.1755 0.0000

Size of the total moment (μB/cell): 1.38
Uncorrected energy (eV/atom): -4.3225
DOS at the Fermi energy (states/eV per cell): 6.1
Space-group type: C222